First-principles (PBE-GGA) data for crystalline Al2ZnHg at its relaxed geometry, as listed in Alexandria.

The space group is Cmmm (No. 65) and the conventional cell measures 2.743, 5.471 and 10.297 Å, with angles of 90.00, 90.00 and 90.00 degrees. Symmetry generates all atoms from Al at (0.000, 0.000, 0.231), Zn at (0.000, 0.500, 0.000) and Hg at (0.000, 0.500, 0.500).

The density of states at the Fermi level comes out at 3.40 states/eV/cell. As for the density: 6.88 g/cm³. Its total energy is -2.072 eV per atom. The energy of formation comes out at 0.19 eV per atom.